Entry 1:
First-principles (GGA-PBE) data for a geometry-optimized Rb3Y2ErSe6 structure, as listed in Alexandria via LeMat-Bulk.

Properties
- symmetry = No. 12
- ρ (g/cm³) = 4.801
- E_form (uncorrected) (eV/atom) = -1.74
- spin magnetization (μB per formula unit) = 0.000

a b c (Å): 7.3309 7.3309 8.3561
angles (deg): 98.41 98.41 120.00
With the nearest neighbours (Å) after each atom.
Sites, in units of the cell vectors:
Rb  0.0000  0.0000  0.0000  6 Se 3.44-3.46
Rb  0.3328  0.6672  0.0000  6 Se 3.44-3.46
Rb  0.6672  0.3328  0.0000  6 Se 3.44-3.46
Y  0.1666  0.8334  0.5000  6 Se 2.91
Y  0.8334  0.1666  0.5000  6 Se 2.91
Er  0.5000  0.5000  0.5000  6 Se 2.88-2.89
Se  0.1040  0.4349  0.3046  1 Er 2.88, 2 Y 2.91
Se  0.2343  0.2343  0.6955  1 Er 2.89, 2 Y 2.91
Se  0.4349  0.1040  0.3046  1 Er 2.88, 2 Y 2.91
Se  0.5651  0.8960  0.6954  1 Er 2.88, 2 Y 2.91
Se  0.7657  0.7657  0.3045  1 Er 2.89, 2 Y 2.91
Se  0.8960  0.5651  0.6954  1 Er 2.88, 2 Y 2.91

Entry 2:
First-principles (GGA-PBE) data for a geometry-optimized Rb3YEr2Se6 structure, as listed in Alexandria via LeMat-Bulk.

Properties
- symmetry = No. 12
- ρ (g/cm³) = 5.181
- E_form (uncorrected) (eV/atom) = -1.74
- spin magnetization (μB per formula unit) = 0.000

a b c (Å): 7.3106 7.3106 8.3518
angles (deg): 98.39 98.39 120.00
With the nearest neighbours (Å) after each atom.
Sites, in units of the cell vectors:
Rb  0.0000  0.0000  0.0000  6 Se 3.44-3.45
Rb  0.3338  0.6662  0.0000  6 Se 3.44-3.45
Rb  0.6662  0.3338  0.0000  6 Se 3.44-3.45
Y  0.5000  0.5000  0.5000  6 Se 2.91
Er  0.1667  0.8333  0.5000  6 Se 2.88
Er  0.8333  0.1667  0.5000  6 Se 2.88
Se  0.0993  0.4351  0.3053  2 Er 2.88, 1 Y 2.91
Se  0.2292  0.2292  0.6946  2 Er 2.88, 1 Y 2.91
Se  0.4351  0.0993  0.3053  2 Er 2.88, 1 Y 2.91
Se  0.5649  0.9007  0.6947  2 Er 2.88, 1 Y 2.91
Se  0.7708  0.7708  0.3054  2 Er 2.88, 1 Y 2.91
Se  0.9007  0.5649  0.6947  2 Er 2.88, 1 Y 2.91

Entry 3:
First-principles (GGA-PBE) data for a geometry-optimized Rb2ErZn2Se4 structure, as listed in Alexandria via LeMat-Bulk.

Properties
- symmetry = No. 12
- ρ (g/cm³) = 5.052
- E_form (uncorrected) (eV/atom) = -1.09
- spin magnetization (μB per formula unit) = 0.000

a b c (Å): 8.3995 8.3995 8.3801
angles (deg): 111.82 111.82 28.19
With the nearest neighbours (Å) after each atom.
Sites, in units of the cell vectors:
Rb  0.1289  0.1289  0.0608  7 Se 3.52-3.68, 1 Zn 3.71, 1 Rb 3.92
Rb  0.8711  0.8711  0.9392  7 Se 3.52-3.68, 1 Zn 3.71, 1 Rb 3.92
Er  0.0000  0.0000  0.5000  6 Se 2.87-2.88
Zn  0.3152  0.3152  0.4895  3 Se 2.50-2.57
Zn  0.6848  0.6848  0.5105  3 Se 2.50-2.57
Se  0.1880  0.1880  0.6982  2 Zn 2.57, 1 Er 2.87
Se  0.4701  0.4701  0.7136  1 Zn 2.50
Se  0.5299  0.5299  0.2864  1 Zn 2.50
Se  0.8120  0.8120  0.3018  2 Zn 2.57, 1 Er 2.87

Entry 4:
First-principles (GGA-PBE) data for a geometry-optimized Rb3Er3ZrSe8 structure, as listed in Alexandria via LeMat-Bulk.

Properties
- symmetry = No. 166
- ρ (g/cm³) = 5.161
- E_form (uncorrected) (eV/atom) = -1.66
- spin magnetization (μB per formula unit) = 0.000

a b c (Å): 9.4340 9.4340 9.4340
angles (deg): 51.62 51.62 51.62
With the nearest neighbours (Å) after each atom.
Sites, in units of the cell vectors:
Rb  0.0000  0.5000  0.5000  6 Se 3.44-3.45
Rb  0.5000  0.0000  0.5000  6 Se 3.44-3.45
Rb  0.5000  0.5000  0.0000  6 Se 3.44-3.45
Er  0.0000  0.0000  0.5000  6 Se 2.85-2.86
Er  0.0000  0.5000  0.0000  6 Se 2.85-2.86
Er  0.5000  0.0000  0.0000  6 Se 2.85-2.86
Zr  0.5000  0.5000  0.5000  6 Se 2.76
Se  0.2313  0.2313  0.2313  3 Er 2.85
Se  0.2414  0.7236  0.7236  1 Zr 2.76, 2 Er 2.86
Se  0.2764  0.2764  0.7586  1 Zr 2.76, 2 Er 2.86
Se  0.2764  0.7586  0.2764  1 Zr 2.76, 2 Er 2.86
Se  0.7236  0.2414  0.7236  1 Zr 2.76, 2 Er 2.86
Se  0.7236  0.7236  0.2414  1 Zr 2.76, 2 Er 2.86
Se  0.7586  0.2764  0.2764  1 Zr 2.76, 2 Er 2.86
Se  0.7687  0.7687  0.7687  3 Er 2.85

Entry 5:
First-principles (GGA-PBE) data for a geometry-optimized Rb2Er2ZrSe6 structure, as listed in Alexandria via LeMat-Bulk.

Properties
- symmetry = No. 12
- ρ (g/cm³) = 5.055
- E_form (uncorrected) (eV/atom) = -1.64
- spin magnetization (μB per formula unit) = 0.000

a b c (Å): 7.0255 7.0255 8.5499
angles (deg): 98.12 98.12 119.74
With the nearest neighbours (Å) after each atom.
Sites, in units of the cell vectors:
Rb  0.1694  0.8306  0.0000  6 Se 3.44-3.49
Rb  0.8306  0.1694  0.0000  6 Se 3.44-3.49
Er  0.3329  0.6671  0.5000  6 Se 2.85-2.86
Er  0.6671  0.3329  0.5000  6 Se 2.85-2.86
Zr  0.0000  0.0000  0.5000  6 Se 2.74
Se  0.0663  0.3860  0.6902  1 Zr 2.74, 2 Er 2.86
Se  0.2561  0.2561  0.3110  1 Zr 2.74, 2 Er 2.85
Se  0.3860  0.0663  0.6902  1 Zr 2.74, 2 Er 2.86
Se  0.6140  0.9337  0.3098  1 Zr 2.74, 2 Er 2.86
Se  0.7439  0.7439  0.6890  1 Zr 2.74, 2 Er 2.85
Se  0.9337  0.6140  0.3098  1 Zr 2.74, 2 Er 2.86

Entry 6:
First-principles (GGA-PBE) data for a geometry-optimized RbErSiTe4 structure, as listed in Alexandria via LeMat-Bulk.

Properties
- symmetry = No. 11
- ρ (g/cm³) = 5.070
- E_form (uncorrected) (eV/atom) = -0.79
- spin magnetization (μB per formula unit) = 0.000

a b c (Å): 7.1342 7.6146 10.0748
angles (deg): 90.00 108.74 90.00
With the nearest neighbours (Å) after each atom.
Sites, in units of the cell vectors:
Rb  0.2313  0.2500  0.0539  6 Te 3.64-3.93
Rb  0.7687  0.7500  0.9461  6 Te 3.64-3.93
Er  0.2289  0.2500  0.5508  6 Te 3.06-3.20
Er  0.7711  0.7500  0.4492  6 Te 3.06-3.20
Si  0.2180  0.7500  0.3353  4 Te 2.50-2.54
Si  0.7820  0.2500  0.6647  4 Te 2.50-2.54
Te  0.0203  0.5074  0.7038  1 Si 2.54
Te  0.0203  0.9926  0.7038  1 Si 2.54
Te  0.4176  0.7500  0.1713  1 Si 2.50
Te  0.4425  0.7500  0.5840  1 Si 2.50
Te  0.5575  0.2500  0.4160  1 Si 2.50
Te  0.5824  0.2500  0.8287  1 Si 2.50
Te  0.9797  0.0074  0.2962  1 Si 2.54
Te  0.9797  0.4926  0.2962  1 Si 2.54